Record 1
Here is a geometry-optimized P3AuO structure from Alexandria via LeMat-Bulk. Energies are from PBE.

Cell lengths 4.845, 4.845, 4.845 Å; angles 90.00, 90.00, 90.00 degrees
Space group Pm-3m (No. 221)
Asymmetric unit:
P (0.000, 0.000, 0.500) x3
Au (0.000, 0.000, 0.000) x1
O (0.500, 0.500, 0.500) x1

Results
- Final energy: -3.243 eV per atom
- Energy relative to the elements, uncorrected: 8.3 eV per formula unit

***

Record 2
Here is a geometry-optimized AcScAs2 structure from Alexandria via LeMat-Bulk. Energies are from PBE.

Cell lengths 4.1560, 4.1560, 21.4213 Å; angles 90.00, 90.00, 120.00 degrees
Space group R3m (No. 160, hexagonal axes)
Asymmetric unit:
Ac (0.0000, 0.0000, 0.0000) x3
Sc (0.0000, 0.0000, 0.1715) x3
As (0.0000, 0.0000, 0.5733) x3
As (0.0000, 0.0000, 0.7660) x3

Results
- Final energy: -6.182 eV per atom
- Energy of formation: -1.25 eV/atom